An optimized crystal structure of CsPrScSe3, computed with PBE.

## Properties
V in Å³/atom: 36.9
Total energy in eV/atom: -5.3255
Space group: P2_1/m, No. 11
ΔE_f (raw) in eV per atom: -1.589

Cell lengths 9.784, 4.529, 10.600 Å; angles 90.00, 109.70, 90.00 degrees
Fractional positions:
1 Cs 0.211 0.250 0.229
2 Cs 0.789 0.750 0.771
3 Pr 0.337 0.750 0.864
4 Pr 0.663 0.250 0.136
5 Sc 0.089 0.250 0.607
6 Sc 0.911 0.750 0.393
7 Se 0.122 0.250 0.858
8 Se 0.191 0.750 0.549
9 Se 0.471 0.750 0.158
10 Se 0.529 0.250 0.842
11 Se 0.809 0.250 0.451
12 Se 0.878 0.750 0.142